Record 1
Entry from the Alexandria database: a relaxed structure of BeTe2As (PBE).

The structure in POSCAR format:
```
BeTe2As
1.0
-3.9129 -5.3369 -0.8167
5.3954 -3.8284 -0.8322
0.8843 -5.4162 3.9370
Be As Te
2 2 4
direct
0.5000 0.5000 0.0000 Be
0.2500 0.7500 0.5000 Be
0.0000 0.0000 0.0000 As
0.7500 0.2500 0.5000 As
0.5704 0.1250 0.2500 Te
0.1796 0.6250 0.2500 Te
0.3750 0.4296 0.7500 Te
0.8750 0.8204 0.7500 Te
```

* energy relative to the lowest polymorph listed for this composition: 97 meV per atom
* raw total energy: -3.524 eV per atom
* uncorrected formation energy: 141 meV/atom

---

Record 2
Entry from the Alexandria database: a relaxed structure of AlRh (PBE).

The structure in POSCAR format:
```
AlRh
1.0
3.9964 0.0000 0.0000
0.0000 5.1478 0.0000
0.0000 0.0000 5.4560
Al Rh
4 4
direct
0.0000 0.6700 0.7500 Al
0.5000 0.0000 0.0000 Al
0.0000 0.3300 0.2500 Al
0.5000 0.0000 0.5000 Al
0.5000 0.5000 0.5000 Rh
0.0000 0.8316 0.2500 Rh
0.0000 0.1684 0.7500 Rh
0.5000 0.5000 0.0000 Rh
```

* raw total energy: -6.435 eV per atom
* formation energy from the elements: -0.888 eV per atom

---

Record 3
Entry from the Alexandria database: a relaxed structure of Pm15Pr2Mg2 (PBE).

The structure in POSCAR format:
```
Pm15Pr2Mg2
1.0
-2.3637 -5.5049 -6.4656
-5.8020 -4.9685 4.3984
-7.4702 3.9178 -2.5576
Pm Pr Mg
15 2 2
direct
0.0000 0.5000 0.0000 Pm
0.0000 0.0000 0.5000 Pm
0.5000 0.0000 0.0000 Pm
0.2950 0.0000 0.7050 Pm
0.7050 0.2950 0.0000 Pm
0.0000 0.7050 0.2950 Pm
0.2950 0.7050 0.0000 Pm
0.0000 0.2950 0.7050 Pm
0.7050 0.0000 0.2950 Pm
0.3639 0.8464 0.3639 Pm
0.3639 0.3639 0.8464 Pm
0.8464 0.3639 0.3639 Pm
0.6361 0.1536 0.6361 Pm
0.6361 0.6361 0.1536 Pm
0.1536 0.6361 0.6361 Pm
0.6795 0.6795 0.6795 Pr
0.3205 0.3205 0.3205 Pr
0.9068 0.9068 0.9068 Mg
0.0932 0.0932 0.0932 Mg
```

* raw total energy: -4.222 eV per atom
* formation energy from the elements: 0.200 eV per atom

---

Record 4
Entry from the Alexandria database: a relaxed structure of Li2LaZr (PBE).

The structure in POSCAR format:
```
Li2LaZr
1.0
10.8063 -0.0356 -0.0208
10.3065 3.2486 -0.0208
10.3065 1.5685 2.8450
La Li Zr
1 2 1
direct
0.2483 0.2483 0.2483 La
0.0078 0.0078 0.0078 Li
0.7493 0.7493 0.7493 Li
0.4947 0.4947 0.4947 Zr
```

* energy relative to the lowest polymorph listed for this composition: 33 meV per atom
* raw total energy: -4.139 eV per atom
* formation energy from the elements: 0.186 eV per atom

---

Record 5
Entry from the Alexandria database: a relaxed structure of ErTlSn2 (PBE).

The structure in POSCAR format:
```
ErTlSn2
1.0
-0.8146 -3.6716 1.7554
3.8888 -0.1745 1.4396
-1.8417 2.9586 5.3334
Tl Sn Er
1 2 1
direct
0.5000 0.5000 0.5000 Tl
0.0000 0.0000 0.7659 Sn
0.0000 0.0000 0.2341 Sn
0.5000 0.5000 0.0000 Er
```

* energy relative to the lowest polymorph listed for this composition: 55 meV per atom
* raw total energy: -4.013 eV per atom
* formation energy from the elements: -0.279 eV per atom

---

> What is the formula in the second record?

AlRh

---

> Among the records above, which one has the lowest raw total energy?

AlRh

---

> Among the records above, which one has the highest raw total energy?

BeTe2As